[1]
The following is a PBE calculation of an optimized crystal structure of TaCd2Ag, from Alexandria.

The structure in extended XYZ format:
```
8
Lattice="-5.505 5.254 0.361 -0.958 -0.486 -7.542 -5.209 0.285 -3.204" Properties=species:S:1:pos:R:3 pbc="T T T"
Cd -4.800 3.235 -1.523
Cd -2.652 0.484 -5.466
Cd -6.341 1.996 -5.182
Cd -9.551 4.391 -8.601
Ag -3.231 2.384 -3.591
Ag -4.699 1.091 -7.169
Ta 0.000 0.000 0.000
Ta -6.973 3.961 -3.217
```

Properties
DOS(E_F), states/eV per cell: 3.047
Energy relative to the elements, eV per atom: 0.743
Density, Mg/m³: 10.10

***

[2]
The following is a PBE calculation of an optimized crystal structure of Cs2SiI6Br, from Alexandria.

The structure in extended XYZ format:
```
10
Lattice="-6.497 -5.805 0.426 1.469 -2.254 -8.298 1.239 -8.099 -2.166" Properties=species:S:1:pos:R:3 pbc="T T T"
Cs -3.886 -8.967 -2.838
Cs 0.097 -7.191 -7.200
I -0.725 -5.969 -3.092
I -3.063 -10.189 -6.945
I -1.411 -2.262 -2.209
I -3.616 -5.797 -5.662
I -4.261 -4.808 -2.022
I -0.767 -3.250 -5.849
Si -2.514 -4.029 -3.936
Br 0.000 0.000 0.000
```

Properties
DOS(E_F), states/eV per cell: 6.928
Energy relative to the elements, uncorrected, kJ per mole of atoms: -65.11
Density, Mg/m³: 4.26

***

[3]
The following is a PBE calculation of an optimized crystal structure of TbPrPSe, from Alexandria.

The structure in extended XYZ format:
```
4
Lattice="-2.193 -1.400 -3.123 0.333 -2.203 3.401 -4.471 4.878 3.597" Properties=species:S:1:pos:R:3 pbc="T T T"
Tb -0.352 -1.829 3.214
Pr -3.894 2.144 1.274
P -4.445 2.644 4.082
Se -3.558 -0.455 -0.442
```

Properties
DOS(E_F), states/eV per cell: 2.667
Energy relative to the elements, uncorrected, kJ per mole of atoms: -166.09
Density, Mg/m³: 6.64

***

[4]
The following is a PBE calculation of an optimized crystal structure of KSr3, from Alexandria.

The structure in extended XYZ format:
```
4
Lattice="6.905 0.000 0.000 3.452 5.980 0.000 3.452 1.993 5.638" Properties=species:S:1:pos:R:3 pbc="T T T"
K 0.000 0.000 0.000
Sr 3.452 1.993 1.409
Sr 10.357 5.980 4.228
Sr 6.905 3.987 2.819
```

Properties
DOS(E_F), states/eV per cell: 3.022
Energy relative to the elements, eV per atom: 0.101
Density, Mg/m³: 2.15